No. 1
## Tb2Zn5Cu3 (GGA-PBE)

Data for a relaxed Tb2Zn5Cu3 crystal.

a = 10.998 Å, b = 11.183 Å, c = 5.687 Å
α = 90.00°, β = 90.00°, γ = 90.00°
Space group Ibam (No. 72)
Asymmetric unit:
Tb 0.246 0.128 0.000 [8 per cell]
Zn 0.000 0.000 0.250 [4 per cell]
Zn 0.000 0.252 0.250 [8 per cell]
Zn 0.141 0.383 0.000 [8 per cell]
Cu 0.000 0.500 0.250 [4 per cell]
Cu 0.139 0.125 0.500 [8 per cell]

Properties
* crystal system: orthorhombic
* V: 17.49 Å³/atom
* energy relative to the lowest polymorph listed for this composition: 0 meV/atom
* formation energy: -255 meV per atom

=====

No. 2
## Tb2Zn3Cu4 (GGA-PBE)

Data for a relaxed Tb2Zn3Cu4 crystal.

a = 5.392 Å, b = 14.943 Å, c = 7.581 Å
α = 90.00°, β = 90.00°, γ = 90.00°
Space group Cmce (No. 64)
Asymmetric unit:
Tb 0.000 0.111 0.088 [8 per cell]
Zn 0.000 0.000 0.500 [4 per cell]
Zn 0.250 0.227 0.750 [8 per cell]
Cu 0.000 0.179 0.482 [8 per cell]
Cu 0.250 0.060 0.750 [8 per cell]

Properties
* crystal system: orthorhombic
* V: 16.97 Å³/atom
* formation energy: -226 meV per atom

=====

No. 3
## TbZn4Cu8 (GGA-PBE)

Data for a relaxed TbZn4Cu8 crystal.

a = 8.627 Å, b = 8.627 Å, c = 4.928 Å
α = 90.00°, β = 90.00°, γ = 90.00°
Space group I4/mmm (No. 139)
Asymmetric unit:
Tb 0.000 0.000 0.000 [2 per cell]
Zn 0.250 0.250 0.250 [8 per cell]
Cu 0.000 0.219 0.500 [8 per cell]
Cu 0.000 0.356 0.000 [8 per cell]

Properties
* crystal system: tetragonal
* V: 14.11 Å³/atom
* formation energy: -126 meV per atom

=====

Which of these has the lowest V? TbZn4Cu8